6
Lattice="1.6399 -6.7233 0.0000 1.6399 6.7233 0.0000 0.0000 0.0000 4.7441" Properties=species:S:1:pos:R:3 comment="LiP2 | Alexandria via LeMat-Bulk | PBE | optimized geometry" sg="Cmcm, No. 63" polymorph_energy_kcal_per_mol_atoms=1.54 magmom_total_mub_per_atom=0.000 crystal_system=orthorhombic dos_at_fermi_per_ev_cell=0.77 pbc="T T T"
Li 1.6399 -4.1187 3.5581
Li 1.6399 4.1187 1.1860
P 1.6399 4.8661 3.5581
P 1.6399 -0.3723 3.5581
P 1.6399 0.3723 1.1860
P 1.6399 -4.8661 1.1860

5
Lattice="4.5384 0.0000 0.0000 0.0000 4.5384 0.0000 0.0000 0.0000 4.5384" Properties=species:S:1:pos:R:3 comment="Li3ZnPd | Alexandria via LeMat-Bulk | PBE | optimized geometry" sg="Pm-3m, No. 221" polymorph_energy_kcal_per_mol_atoms=12.07 magmom_total_mub_per_atom=0.000 crystal_system=cubic dos_at_fermi_per_ev_cell=2.10 pbc="T T T"
Zn 0.0000 0.0000 0.0000
Pd 2.2692 2.2692 2.2692
Li 0.0000 2.2692 0.0000
Li 0.0000 0.0000 2.2692
Li 2.2692 0.0000 0.0000

4
Lattice="-0.7205 1.2014 -4.9664 0.5259 -3.6255 -3.6341 -4.1524 -1.7636 -2.5051" Properties=species:S:1:pos:R:3 comment="CaPuMgSi | Alexandria via LeMat-Bulk | PBE | optimized geometry" sg="F-43m, No. 216" magmom_total_mub_per_atom=1.551 crystal_system=cubic e_form_raw_mev_per_atom=-80.1 dos_at_fermi_per_ev_cell=7.58 pbc="T T T"
Mg -1.0867 -1.0469 -2.7764
Ca -2.1734 -2.0938 -5.5528
Si -3.2602 -3.1408 -8.3292
Pu 0.0000 0.0000 0.0000